Below is an optimized crystal structure of SrBO3, with properties calculated at the PBE level.

Calculated values
Size of the total moment: 3.00 μB/f.u.
Crystal system: cubic
N(E_F): 6.08 states/eV per cell
Formation energy without anion corrections: 370 kJ/mol of formula units
Raw total energy: -3.880 eV per atom

CIF file:
```
data_SrBO3
_chemical_formula_sum 'Sr1 B1 O3'
_symmetry_space_group_name_H-M 'P m -3 m'
_symmetry_Int_Tables_number 221
_symmetry_space_group_name_Hall '-P 4 2 3'
_cell_length_a 4.582
_cell_length_b 4.582
_cell_length_c 4.582
_cell_angle_alpha 90.00
_cell_angle_beta 90.00
_cell_angle_gamma 90.00
loop_
_atom_site_label
_atom_site_type_symbol
_atom_site_fract_x
_atom_site_fract_y
_atom_site_fract_z
Sr1 Sr 0.000 0.000 0.000
B1 B 0.500 0.500 0.500
O1 O 0.000 0.000 0.500
```